Density functional theory data (PBE) for a relaxed structure of Ba2InAgH6.

Cell: 9.8330 5.6893 6.4648 Å, 90.00 120.50 90.00°
With the nearest neighbours (Å) after each atom.
Space group C2/m (No. 12)
Inequivalent atoms, fractional coordinates:
Ba  0.2441  0.0000  0.2338  9 H 2.84-2.97
In  0.0000  0.0000  0.5000  6 H 2.35
Ag  0.0000  0.5000  0.0000  6 H 1.97
H  0.0179  0.2516  0.8021  1 Ag 1.97
H  0.2311  0.5000  0.2048  1 Ag 1.97

Uncorrected energy ... -3.0919 eV/atom
M_tot ... 0.0 μB/cell

Density functional theory data (PBE) for a relaxed structure of LiZrSe2.

Cell: 3.7153 3.5140 13.1800 Å, 90.00 90.00 90.00°
With the nearest neighbours (Å) after each atom.
Space group Amm2 (No. 38)
Inequivalent atoms, fractional coordinates:
Li  0.0000  0.0000  0.0000  5 Se 2.66-2.67
Zr  0.5000  0.0000  0.7877  6 Se 2.70-2.80
Se  0.0000  0.0000  0.2015  1 Li 2.66, 4 Zr 2.80
Se  0.5000  0.0000  0.4430  4 Li 2.67, 2 Zr 2.70

Uncorrected energy ... -5.5882 eV/atom
M_tot ... 1.3 μB/cell
Formation energy from raw total energies ... -1.230 eV per atom

Density functional theory data (PBE) for a relaxed structure of LaErCuRu.

Cell: 7.0079 7.0079 7.0079 Å, 90.00 90.00 90.00°
With the nearest neighbours (Å) after each atom.
Space group F-43m (No. 216)
Inequivalent atoms, fractional coordinates:
La  0.0000  0.0000  0.0000  4 Cu 3.03, 4 Ru 3.03
Er  0.0000  0.0000  0.5000  4 Ru 3.03, 4 Cu 3.03
Cu  0.2500  0.2500  0.7500  4 La 3.03, 4 Er 3.03
Ru  0.2500  0.2500  0.2500  4 La 3.03, 4 Er 3.03

Uncorrected energy ... -5.9598 eV/atom
M_tot ... 0.0 μB/cell
Calculated formation energy ... -244.2 meV per atom

Density functional theory data (PBE) for a relaxed structure of YCo4Cl.

Cell: 7.0997 7.0997 7.0997 Å, 90.00 90.00 90.00°
With the nearest neighbours (Å) after each atom.
Space group F-43m (No. 216)
Inequivalent atoms, fractional coordinates:
Y  0.0000  0.0000  0.0000  12 Co 2.94, 4 Cl 3.07
Co  0.1254  0.1254  0.3746  6 Co 2.50-2.52
Cl  0.2500  0.2500  0.7500  12 Co 2.94, 4 Y 3.07

Uncorrected energy ... -5.9737 eV/atom
M_tot ... 23.7 μB/cell
Formation energy from raw total energies ... 0.149 eV per atom

Density functional theory data (PBE) for a relaxed structure of LaPbCl2.

Cell: 3.6838 3.6838 32.0737 Å, 90.00 90.00 120.00°
With the nearest neighbours (Å) after each atom.
Space group R-3m (No. 166, hexagonal axes)
Inequivalent atoms, fractional coordinates:
La  0.0000  0.0000  0.0000  6 Cl 2.89
Pb  0.0000  0.0000  0.5000  6 Pb 3.68, 6 Cl 4.00
Cl  0.0000  0.0000  0.2724  3 La 2.89

Uncorrected energy ... -4.4052 eV/atom
M_tot ... 0.5 μB/cell
Relative energy among the computed polymorphs ... 0.0339 eV per atom
Formation energy from raw total energies ... -1.323 eV per atom

Density functional theory data (PBE) for a relaxed structure of Er2InSe4.

Cell: 15.2838 4.0829 7.1737 Å, 90.00 115.69 90.00°
With the nearest neighbours (Å) after each atom.
Space group C2/m (No. 12)
Inequivalent atoms, fractional coordinates:
Er  0.2345  0.0000  0.2213  6 Se 2.79-2.93
In  0.0000  0.5000  0.5000  6 Se 2.98-3.00
Se  0.1284  0.5000  0.9536  3 Er 2.79-2.87, 1 In 2.98
Se  0.1424  0.0000  0.4922  3 Er 2.85-2.93, 2 In 3.00

Uncorrected energy ... -5.0801 eV/atom
M_tot ... 0.0 μB/cell
Formation energy from raw total energies ... -1.394 eV per atom